# 1
The following is a DFT calculation (GGA-PBE) of a relaxed Mn3AuC crystal.

Calculated values
The density of states at the Fermi level comes out at 3.21 states/eV/cell. As for the space group: Pm-3m. For the formation energy, the calculation gives 0.006 eV per atom. The size of the total moment is 8.45 μB/f.u. Its energy above the most stable polymorph in this dataset is 0.0000 eV per atom.

Lattice parameters (Å, degrees): 3.9845 3.9845 3.9845 90.00 90.00 90.00
Closest atoms and distances in Å follow each position.
Positions (direct):
Mn 0.0000 0.0000 0.5000  2 C 1.99
Mn 0.0000 0.5000 0.0000  2 C 1.99
Mn 0.5000 0.0000 0.0000  2 C 1.99
Au 0.5000 0.5000 0.5000  12 Mn 2.82
C 0.0000 0.0000 0.0000  6 Mn 1.99

***

# 2
The following is a DFT calculation (GGA-PBE) of a relaxed MnAu3C crystal.

Calculated values
The density of states at the Fermi level comes out at 12.91 states/eV/cell. As for the space group: Pm-3m. For the formation energy, the calculation gives 2.424 eV per atom. The size of the total moment is 0.00 μB/f.u. Its energy above the most stable polymorph in this dataset is 1.6689 eV per atom.

Lattice parameters (Å, degrees): 4.7552 4.7552 4.7552 90.00 90.00 90.00
Closest atoms and distances in Å follow each position.
Positions (direct):
Mn 0.0000 0.0000 0.0000  6 Au 2.38
Au 0.0000 0.0000 0.5000  2 Mn 2.38
Au 0.0000 0.5000 0.0000  2 Mn 2.38
Au 0.5000 0.0000 0.0000  2 Mn 2.38
C 0.5000 0.5000 0.5000  12 Au 3.36

***

# 3
The following is a DFT calculation (GGA-PBE) of a relaxed MnNb2AuC crystal.

Calculated values
The density of states at the Fermi level comes out at 4.12 states/eV/cell. As for the space group: P4/mmm. For the formation energy, the calculation gives -0.153 eV per atom. The size of the total moment is 1.81 μB/f.u.

Lattice parameters (Å, degrees): 4.3545 4.3545 3.8811 90.00 90.00 90.00
Closest atoms and distances in Å follow each position.
Positions (direct):
Mn 0.0000 0.0000 0.0000  2 C 1.94
Nb 0.0000 0.5000 0.5000  2 C 2.18
Nb 0.5000 0.0000 0.5000  2 C 2.18
Au 0.5000 0.5000 0.0000  8 Nb 2.92, 4 Mn 3.08
C 0.0000 0.0000 0.5000  2 Mn 1.94

***

# 4
The following is a DFT calculation (GGA-PBE) of a relaxed MnNi2AuC crystal.

Calculated values
The density of states at the Fermi level comes out at 5.11 states/eV/cell. As for the space group: P4/mmm. For the formation energy, the calculation gives 0.068 eV per atom. The size of the total moment is 3.45 μB/f.u.

Lattice parameters (Å, degrees): 3.8717 3.8717 3.9460 90.00 90.00 90.00
Closest atoms and distances in Å follow each position.
Positions (direct):
Mn 0.0000 0.0000 0.0000  2 C 1.97
Ni 0.0000 0.5000 0.5000  2 C 1.94
Ni 0.5000 0.0000 0.5000  2 C 1.94
Au 0.5000 0.5000 0.0000  4 Mn 2.74, 8 Ni 2.76
C 0.0000 0.0000 0.5000  4 Ni 1.94, 2 Mn 1.97

***

# 5
The following is a DFT calculation (GGA-PBE) of a relaxed MnPAuC crystal.

Calculated values
The density of states at the Fermi level comes out at 2.28 states/eV/cell. As for the space group: Cm. For the formation energy, the calculation gives 0.521 eV per atom. The size of the total moment is 1.32 μB/f.u. Its energy above the most stable polymorph in this dataset is 0.2662 eV per atom.

Lattice parameters (Å, degrees): 4.3745 4.3745 3.6379 102.47 102.47 51.04
Closest atoms and distances in Å follow each position.
Positions (direct):
Mn 0.0000 0.0000 0.0000  2 C 1.95-2.02
P 0.6867 0.6867 0.0897  1 C 1.82
Au 0.2707 0.2707 0.6621  2 C 2.37, 2 P 2.63
C 0.8961 0.8961 0.4354  1 P 1.82, 2 Mn 1.95-2.02

***

# 6
The following is a DFT calculation (GGA-PBE) of a relaxed MnPAuC crystal.

Calculated values
The density of states at the Fermi level comes out at 2.03 states/eV/cell. As for the space group: Amm2. For the formation energy, the calculation gives 0.388 eV per atom. The size of the total moment is 0.00 μB/f.u. Its energy above the most stable polymorph in this dataset is 0.1338 eV per atom.

Lattice parameters (Å, degrees): 2.6893 7.1314 7.1314 22.26 90.00 90.00
Closest atoms and distances in Å follow each position.
Positions (direct):
Mn 0.0000 0.0000 0.0000  4 C 2.01
P 0.5000 0.8663 0.8663  2 Mn 2.30, 1 Au 2.45
Au 0.5000 0.6910 0.6910  1 C 2.11
C 0.5000 0.5402 0.5402  4 Mn 2.01, 1 Au 2.11

***

# 7
The following is a DFT calculation (GGA-PBE) of a relaxed MnPAuC crystal.

Calculated values
The density of states at the Fermi level comes out at 2.13 states/eV/cell. As for the space group: I4mm. For the formation energy, the calculation gives 0.418 eV per atom. The size of the total moment is 0.74 μB/f.u. Its energy above the most stable polymorph in this dataset is 0.1632 eV per atom.

Lattice parameters (Å, degrees): 7.6847 7.6847 7.6847 159.83 159.83 28.67
Closest atoms and distances in Å follow each position.
Positions (direct):
Mn 0.0000 0.0000 0.0000  4 C 1.95
P 0.1532 0.1532 0.0000  1 Mn 2.28, 1 Au 2.55
Au 0.3242 0.3242 0.0000  1 C 2.18
C 0.4706 0.4706 0.0000  4 Mn 1.95, 1 Au 2.18

***

# 8
The following is a DFT calculation (GGA-PBE) of a relaxed MnPAuC crystal.

Calculated values
The density of states at the Fermi level comes out at 1.70 states/eV/cell. As for the space group: Cm. For the formation energy, the calculation gives 0.341 eV per atom. The size of the total moment is 2.99 μB/f.u. Its energy above the most stable polymorph in this dataset is 0.0865 eV per atom.

Lattice parameters (Å, degrees): 3.9419 3.9419 6.4244 117.90 117.90 43.39
Closest atoms and distances in Å follow each position.
Positions (direct):
Mn 0.0000 0.0000 0.0000  3 C 2.08-2.17
P 0.6158 0.6158 0.7828  2 C 1.85
Au 0.4466 0.4466 0.3609  1 C 2.19, 1 P 2.34
C 0.2675 0.2675 0.9667  2 P 1.85